(1)
Entry from Alexandria: a geometry-optimized TiIn3F structure (PBE).

Unit cell a=5.4815 b=5.4815 c=5.4815 alpha=90.00 beta=90.00 gamma=90.00
Closest atoms and distances in Å follow each position.
Sites, in units of the cell vectors:
Ti1 0.0000 0.0000 0.0000  6 In 2.74
F1 0.5000 0.5000 0.5000  12 In 3.88
In1 0.5000 0.0000 0.0000  2 Ti 2.74
In2 0.0000 0.5000 0.0000  2 Ti 2.74
In3 0.0000 0.0000 0.5000  2 Ti 2.74

Values from the calculation:
Formation energy from raw total energies = 0.164 eV per atom
DFT total energy = -17.16 eV for the cell shown
Energy above the most stable polymorph in this dataset = 0.447 eV/atom

***

(2)
Entry from Alexandria: a geometry-optimized ThNb4Se8 structure (PBE).

Unit cell a=7.1784 b=7.1784 c=8.1392 alpha=90.00 beta=116.17 gamma=120.00
Closest atoms and distances in Å follow each position.
Sites, in units of the cell vectors:
Se1 0.9986 0.7600 0.2372  3 Nb 2.59-2.69, 1 Th 2.84
Se2 0.5228 0.7614 0.7628  3 Nb 2.59-2.69, 1 Th 2.84
Se3 0.0014 0.7614 0.7628  3 Nb 2.59-2.69, 1 Th 2.84
Se4 0.0014 0.2400 0.7628  3 Nb 2.59-2.69, 1 Th 2.84
Se5 0.4890 0.7445 0.2335  3 Nb 2.64
Se6 0.4772 0.2386 0.2372  3 Nb 2.59-2.69, 1 Th 2.84
Se7 0.9986 0.2386 0.2372  3 Nb 2.59-2.69, 1 Th 2.84
Se8 0.5110 0.2555 0.7665  3 Nb 2.64
Nb1 0.0000 0.0000 0.0000  6 Se 2.59
Nb2 0.5000 0.5000 0.0000  6 Se 2.64-2.69
Nb3 0.0000 0.5000 0.0000  6 Se 2.64-2.69
Nb4 0.5000 0.0000 0.0000  6 Se 2.64-2.69
Th1 0.0000 0.5000 0.5000  6 Se 2.84

Values from the calculation:
Formation energy from raw total energies = -0.935 eV per atom
DFT total energy = -87.73 eV for the cell shown

***

(3)
Entry from Alexandria: a geometry-optimized CdCuOsO5 structure (PBE).

Unit cell a=5.7494 b=5.7494 c=7.4664 alpha=104.84 beta=104.84 gamma=105.43
Closest atoms and distances in Å follow each position.
Sites, in units of the cell vectors:
O1 0.8194 0.2293 0.0567  1 Cu 1.89, 1 Os 1.91
O2 0.9300 0.0700 0.7500  2 Os 1.97
O3 0.7190 0.6907 0.3865  1 Os 1.87, 1 Cu 1.99
O4 0.6907 0.7190 0.8865  1 Os 1.87, 1 Cu 1.99
O5 0.0700 0.9300 0.2500  2 Os 1.97
O6 0.3093 0.2810 0.1135  1 Os 1.87, 1 Cu 1.99
O7 0.1806 0.7707 0.9433  1 Cu 1.89, 1 Os 1.91
O8 0.7707 0.1806 0.4433  1 Cu 1.89, 1 Os 1.91
O9 0.2293 0.8194 0.5567  1 Cu 1.89, 1 Os 1.91
O10 0.2810 0.3093 0.6135  1 Os 1.87, 1 Cu 1.99
Os1 0.0000 0.0000 0.5000  6 O 1.87-1.97
Os2 0.0000 0.0000 0.0000  6 O 1.87-1.97
Cd1 0.3152 0.6848 0.2500  5 O 2.24-2.44
Cd2 0.6848 0.3152 0.7500  5 O 2.24-2.44
Cu1 0.3265 0.6735 0.7500  4 O 1.89-1.99
Cu2 0.6735 0.3265 0.2500  4 O 1.89-1.99

Values from the calculation:
Formation energy from raw total energies = -0.853 eV per atom
DFT total energy = -95.70 eV for the cell shown

***

(4)
Entry from Alexandria: a geometry-optimized Ba2SrAl structure (PBE).

Unit cell a=4.2273 b=4.2273 c=10.6013 alpha=90.00 beta=90.00 gamma=90.00
Closest atoms and distances in Å follow each position.
Sites, in units of the cell vectors:
Ba1 0.0000 0.0000 0.9328  4 Al 3.56, 1 Ba 3.88
Ba2 0.0000 0.0000 0.5672  4 Al 3.56, 1 Ba 3.88
Sr1 0.5000 0.5000 0.2500  4 Sr 4.23, 8 Ba 4.50
Al1 0.5000 0.5000 0.7500  8 Ba 3.56

Values from the calculation:
Energy relative to the elements = -43 meV/atom
DFT total energy = -9.44 eV for the cell shown